Entry 1:
First-principles (PBEsol) data for a relaxed structure of TbBO3, as listed in the Alexandria database.

Cell: 3.870 3.870 8.545 Å, 90.00 90.00 113.08°
Positions (direct):
B1 0.766 0.494 0.750
B2 0.494 0.766 0.250
Tb1 0.062 0.062 0.500
Tb2 0.062 0.062 0.000
O1 0.667 0.327 0.604
O2 0.667 0.327 0.896
O3 0.000 0.866 0.750
O4 0.327 0.667 0.104
O5 0.327 0.667 0.396
O6 0.866 0.000 0.250

Computed properties:
As for the formation energy without anion corrections: -3.073 eV/atom.

Entry 2:
First-principles (PBEsol) data for a relaxed structure of Si3Pt, as listed in the Alexandria database.

Cell: 3.149 4.009 5.549 Å, 106.42 90.00 113.13°
Positions (direct):
Si1 0.500 0.000 0.500
Si2 0.245 0.491 0.776
Si3 0.755 0.509 0.224
Pt1 0.000 0.000 0.000

Computed properties:
As for the formation energy without anion corrections: -0.072 eV/atom.

Entry 3:
First-principles (PBEsol) data for a relaxed structure of TePtI2O, as listed in the Alexandria database.

Cell: 5.090 5.471 5.471 Å, 90.00 90.00 90.00°
Positions (direct):
I1 0.000 0.000 0.500
I2 0.000 0.500 0.000
Te1 0.500 0.000 0.000
O1 0.500 0.500 0.500
Pt1 0.000 0.000 0.000

Computed properties:
As for the formation energy without anion corrections: 0.784 eV/atom.

Entry 4:
First-principles (PBEsol) data for a relaxed structure of Cu2Pt7, as listed in the Alexandria database.

Cell: 4.710 4.710 6.699 Å, 90.00 90.00 120.00°
Positions (direct):
Cu1 0.667 0.333 0.000
Cu2 0.333 0.667 0.000
Pt1 0.000 0.000 0.000
Pt2 0.335 0.335 0.675
Pt3 0.000 0.665 0.675
Pt4 0.665 0.000 0.675
Pt5 0.000 0.335 0.325
Pt6 0.665 0.665 0.325
Pt7 0.335 0.000 0.325

Computed properties:
The calculated formation energy is -78 meV per atom.

Entry 5:
First-principles (PBEsol) data for a relaxed structure of Sr2MoAu, as listed in the Alexandria database.

Cell: 3.615 5.242 6.513 Å, 113.73 106.11 90.00°
Positions (direct):
Au1 0.533 0.533 0.066
Mo1 0.204 0.704 0.409
Sr1 0.986 0.986 0.972
Sr2 0.776 0.276 0.553

Computed properties:
The energy above the most stable polymorph in this dataset is 142 meV per atom. The calculated formation energy is 464 meV per atom.

Entry 6:
First-principles (PBEsol) data for a relaxed structure of La2AlRu, as listed in the Alexandria database.

Cell: 3.882 4.620 7.050 Å, 108.00 90.00 114.85°
Positions (direct):
Ru1 0.505 0.010 0.629
Al1 0.199 0.398 0.623
La1 0.979 0.959 0.907
La2 0.816 0.633 0.341

Computed properties:
The calculated formation energy is -285 meV per atom.

Entry 7:
First-principles (PBEsol) data for a relaxed structure of ZnSb2TeP, as listed in the Alexandria database.

Cell: 5.192 5.192 5.092 Å, 90.00 90.00 90.00°
Positions (direct):
Sb1 0.000 0.500 0.000
Sb2 0.500 0.000 0.000
Zn1 0.500 0.500 0.500
Te1 0.000 0.000 0.500
P1 0.000 0.000 0.000

Computed properties:
The energy above the most stable polymorph in this dataset is 0 meV per atom. As for the formation energy without anion corrections: 0.642 eV/atom.

Entry 8:
First-principles (PBEsol) data for a relaxed structure of CaSnAs2Se, as listed in the Alexandria database.

Cell: 5.158 5.158 5.300 Å, 90.00 90.00 90.00°
Positions (direct):
As1 0.000 0.500 0.000
As2 0.500 0.000 0.000
Ca1 0.500 0.500 0.500
Sn1 0.000 0.000 0.000
Se1 0.000 0.000 0.500

Computed properties:
The energy above the most stable polymorph in this dataset is 0 meV per atom. As for the formation energy without anion corrections: 0.048 eV/atom.